Record 1
Crystalline Rb3Cd2GeCl9 at its relaxed geometry, computed with PBE-GGA.

Cell: 7.478 7.478 9.155 Å, 90.00 90.00 120.00°
Atoms (fractional coordinates):
Cl 0.333 0.167 0.666
Cl 0.500 0.000 0.000
Cl 0.667 0.833 0.334
Rb 0.333 0.667 0.668
Cd 0.333 0.667 0.167
Cl 0.167 0.333 0.334
Rb 0.000 0.000 0.000
Cd 0.667 0.333 0.833
Cl 0.000 0.500 0.000
Cl 0.500 0.500 0.000
Cl 0.833 0.667 0.666
Rb 0.667 0.333 0.332
Ge 0.000 0.000 0.500
Cl 0.167 0.833 0.334
Cl 0.833 0.167 0.666

## Properties
- Uncorrected formation energy: -1.39 eV per atom
- SG: No. 164
- V: 29.55 Å³ per atom

***

Record 2
Crystalline CdSeCl2 at its relaxed geometry, computed with PBE-GGA.

Cell: 5.001 5.001 5.001 Å, 60.00 60.00 60.00°
Atoms (fractional coordinates):
Se 0.750 0.750 0.750
Cd 0.500 0.500 0.500
Cl 0.250 0.250 0.250
Cl 0.000 0.000 0.000

## Properties
- Uncorrected formation energy: 0.11 eV per atom
- Offset from the most stable computed form: 643 meV per atom
- SG: No. 216
- V: 22.12 Å³ per atom

***

Record 3
Crystalline Ce2PrSb2 at its relaxed geometry, computed with PBE-GGA.

Cell: 4.371 4.371 8.221 Å, 105.05 105.05 90.19°
Atoms (fractional coordinates):
Sb 0.592 0.592 0.198
Sb 0.408 0.408 0.802
Pr 0.000 0.000 0.000
Ce 0.763 0.237 0.500
Ce 0.237 0.763 0.500

## Properties
- Uncorrected formation energy: -0.71 eV per atom
- SG: No. 12
- V: 29.22 Å³ per atom

***

Record 4
Crystalline AlTc2Ni at its relaxed geometry, computed with PBE-GGA.

Cell: 8.703 8.703 8.703 Å, 18.02 18.02 18.02°
Atoms (fractional coordinates):
Al 0.250 0.250 0.250
Ni 0.750 0.750 0.750
Tc 0.002 0.002 0.002
Tc 0.498 0.498 0.498

## Properties
- ΔH_f (0 K): 0.0 eV per formula unit
- SG: No. 166
- V: 13.77 Å³ per atom

***

Record 5
Crystalline LiMo3 at its relaxed geometry, computed with PBE-GGA.

Cell: 4.219 4.219 3.357 Å, 90.00 90.00 90.00°
Atoms (fractional coordinates):
Li 0.000 0.000 0.000
Mo 0.500 0.500 0.000
Mo 0.000 0.500 0.500
Mo 0.500 0.000 0.500

## Properties
- Offset from the most stable computed form: 168 meV per atom
- ΔH_f (0 K): 1.6 eV per formula unit
- SG: No. 123
- V: 14.94 Å³ per atom

***

Record 6
Crystalline KBa2PmTe4 at its relaxed geometry, computed with PBE-GGA.

Cell: 4.835 8.302 8.487 Å, 71.33 90.00 90.00°
Atoms (fractional coordinates):
K 0.500 0.500 0.000
Ba 0.000 0.000 0.000
Te 0.500 0.274 0.728
Te 0.000 0.265 0.267
Ba 0.500 0.000 0.500
Pm 0.000 0.500 0.500
Te 0.000 0.735 0.733
Te 0.500 0.726 0.272

## Properties
- Uncorrected formation energy: -1.53 eV per atom
- SG: No. 10
- V: 40.34 Å³ per atom

***

Record 7
Crystalline MgCu2B2H8Cl2O8 at its relaxed geometry, computed with PBE-GGA.

Cell: 6.619 6.619 5.416 Å, 90.00 90.00 90.00°
Atoms (fractional coordinates):
Mg 0.500 0.500 0.500
O 0.814 0.978 0.151
H 0.807 0.061 0.300
O 0.556 0.660 0.180
H 0.259 0.682 0.842
O 0.022 0.814 0.849
Cl 0.500 0.000 0.592
O 0.978 0.186 0.849
O 0.340 0.556 0.820
O 0.444 0.340 0.180
H 0.939 0.807 0.700
H 0.061 0.193 0.700
H 0.741 0.318 0.842
B 0.000 0.000 0.000
H 0.318 0.259 0.158
Cu 0.500 0.000 0.992
H 0.193 0.939 0.300
O 0.186 0.022 0.151
Cl 0.000 0.500 0.408
Cu 0.000 0.500 0.008
O 0.660 0.444 0.820
B 0.500 0.500 0.000
H 0.682 0.741 0.158

## Properties
- Uncorrected energy: -5.3292 eV per atom
- SG: No. 81
- V: 10.32 Å³ per atom

***

Record 8
Crystalline Ag2OsPdI at its relaxed geometry, computed with PBE-GGA.

Cell: 5.219 4.792 5.219 Å, 90.00 90.00 90.00°
Atoms (fractional coordinates):
I 0.500 0.500 0.500
Ag 0.500 0.000 0.000
Pd 0.000 0.500 0.000
Os 0.000 0.000 0.000
Ag 0.000 0.000 0.500

## Properties
- Uncorrected formation energy: 1.24 eV per atom
- SG: No. 123
- V: 26.11 Å³ per atom

***

Record 9
Crystalline Pu3CdIr2 at its relaxed geometry, computed with PBE-GGA.

Cell: 3.396 3.396 11.717 Å, 90.00 90.00 90.00°
Atoms (fractional coordinates):
Pu 0.000 0.000 0.293
Ir 0.500 0.500 0.150
Pu 0.000 0.000 0.707
Cd 0.500 0.500 0.500
Ir 0.500 0.500 0.850
Pu 0.000 0.000 0.000

## Properties
- ΔH_f (0 K): -1.9 eV per formula unit
- SG: No. 123
- V: 22.52 Å³ per atom

***

Record 10
Crystalline Ca2CoBTe at its relaxed geometry, computed with PBE-GGA.

Cell: 5.311 5.311 3.872 Å, 90.00 90.00 90.00°
Atoms (fractional coordinates):
Ca 0.000 0.500 0.000
Te 0.500 0.500 0.500
B 0.000 0.000 0.000
Ca 0.500 0.000 0.000
Co 0.000 0.000 0.500

## Properties
- Uncorrected formation energy: -0.35 eV per atom
- SG: No. 123
- V: 21.85 Å³ per atom

***

Record 11
Crystalline YNb2AsS at its relaxed geometry, computed with PBE-GGA.

Cell: 5.174 5.052 5.174 Å, 90.00 90.00 90.00°
Atoms (fractional coordinates):
Nb 0.500 0.000 0.000
Y 0.000 0.000 0.000
Nb 0.000 0.000 0.500
S 0.500 0.500 0.500
As 0.000 0.500 0.000

## Properties
- Uncorrected formation energy: 1.83 eV per atom
- SG: No. 123
- V: 27.05 Å³ per atom

***

Record 12
Crystalline Nb2Co9W at its relaxed geometry, computed with PBE-GGA.

Cell: 3.630 3.630 10.892 Å, 90.00 90.00 90.00°
Atoms (fractional coordinates):
W 0.000 0.000 0.000
Nb 0.000 0.000 0.667
Co 0.500 0.500 0.669
Nb 0.000 0.000 0.333
Co 0.500 0.000 0.161
Co 0.500 0.000 0.839
Co 0.500 0.000 0.500
Co 0.000 0.500 0.500
Co 0.000 0.500 0.161
Co 0.000 0.500 0.839
Co 0.500 0.500 0.331
Co 0.500 0.500 0.000

## Properties
- ΔH_f (0 K): -1.5 eV per formula unit
- SG: No. 123
- V: 11.96 Å³ per atom

***

Record 13
Crystalline NaScNi3 at its relaxed geometry, computed with PBE-GGA.

Cell: 4.599 4.599 4.599 Å, 90.00 90.00 90.00°
Atoms (fractional coordinates):
Ni 0.500 0.000 0.000
Ni 0.000 0.500 0.000
Ni 0.000 0.000 0.500
Sc 0.000 0.000 0.000
Na 0.500 0.500 0.500

## Properties
- Offset from the most stable computed form: 0 meV per atom
- ΔH_f (0 K): 4.0 eV per formula unit
- SG: No. 221
- V: 19.46 Å³ per atom

***

Record 14
Crystalline BaLi4Mo at its relaxed geometry, computed with PBE-GGA.

Cell: 5.862 5.862 5.862 Å, 60.00 60.00 60.00°
Atoms (fractional coordinates):
Ba 0.000 0.000 0.000
Li 0.862 0.379 0.379
Mo 0.750 0.750 0.750
Li 0.379 0.862 0.379
Li 0.379 0.379 0.862
Li 0.379 0.379 0.379

## Properties
- ΔH_f (0 K): 3.4 eV per formula unit
- SG: No. 216
- V: 23.74 Å³ per atom

***

Record 15
Crystalline Sm2AgH at its relaxed geometry, computed with PBE-GGA.

Cell: 3.361 3.361 7.437 Å, 90.00 90.00 90.00°
Atoms (fractional coordinates):
Sm 0.000 0.000 0.779
Sm 0.000 0.000 0.221
H 0.500 0.500 0.000
Ag 0.500 0.500 0.500

## Properties
- Offset from the most stable computed form: 179 meV per atom
- SG: No. 123
- V: 21.00 Å³ per atom

***

Record 16
Crystalline Ce3PuC8 at its relaxed geometry, computed with PBE-GGA.

Cell: 6.304 6.303 6.304 Å, 67.13 77.13 112.87°
Atoms (fractional coordinates):
Pu 0.000 0.000 0.000
C 0.622 0.483 0.378
Ce 0.250 0.500 0.250
C 0.138 0.517 0.862
C 0.926 0.323 0.074
Ce 0.500 0.000 0.500
C 0.074 0.000 0.603
C 0.862 0.000 0.622
Ce 0.750 0.500 0.750
C 0.397 0.000 0.926
C 0.378 0.000 0.138
C 0.603 0.677 0.397

## Properties
- ΔH_f (0 K): 2.2 eV per formula unit
- SG: No. 121
- V: 15.91 Å³ per atom

***

Record 17
Crystalline CsCaGeSeO at its relaxed geometry, computed with PBE-GGA.

Cell: 4.432 5.192 8.169 Å, 88.95 74.56 64.75°
Atoms (fractional coordinates):
O 0.255 0.738 0.748
Se 0.839 0.195 0.129
Ge 0.040 0.120 0.796
Cs 0.922 0.652 0.495
Ca 0.249 0.524 0.978

## Properties
- Uncorrected formation energy: -1.29 eV per atom
- Offset from the most stable computed form: 68 meV per atom
- SG: No. 1
- V: 32.57 Å³ per atom

***

Record 18
Crystalline SrHgIBr at its relaxed geometry, computed with PBE-GGA.

Cell: 5.753 5.753 5.753 Å, 60.00 60.00 60.00°
Atoms (fractional coordinates):
Hg 0.750 0.750 0.750
Sr 0.250 0.250 0.250
Br 0.000 0.000 0.000
I 0.500 0.500 0.500

## Properties
- Uncorrected formation energy: -1.23 eV per atom
- SG: No. 216
- V: 33.65 Å³ per atom

***

Record 19
Crystalline Sc4GaAgHg2 at its relaxed geometry, computed with PBE-GGA.

Cell: 4.902 4.902 8.487 Å, 73.21 73.21 60.00°
Atoms (fractional coordinates):
Ag 0.500 0.500 0.500
Sc 0.877 0.877 0.368
Sc 0.123 0.123 0.632
Hg 0.246 0.246 0.261
Hg 0.754 0.754 0.739
Ga 0.000 0.000 0.000
Sc 0.373 0.373 0.881
Sc 0.627 0.627 0.119

## Properties
- ΔH_f (0 K): -3.4 eV per formula unit
- SG: No. 166
- V: 20.81 Å³ per atom

***

Record 20
Crystalline NdGa2Au at its relaxed geometry, computed with PBE-GGA.

Cell: 3.640 5.380 5.380 Å, 120.13 90.00 90.00°
Atoms (fractional coordinates):
Ga 0.500 0.554 0.946
Au 0.500 0.554 0.446
Ga 0.500 0.054 0.446
Nd 0.000 0.054 0.946

## Properties
- ΔH_f (0 K): -1.8 eV per formula unit
- SG: No. 65
- V: 22.78 Å³ per atom

***

Record 21
Crystalline CaNbSb2Te at its relaxed geometry, computed with PBE-GGA.

Cell: 5.361 5.361 5.613 Å, 90.00 90.00 90.00°
Atoms (fractional coordinates):
Ca 0.500 0.500 0.500
Nb 0.000 0.000 0.000
Te 0.000 0.000 0.500
Sb 0.000 0.500 0.000
Sb 0.500 0.000 0.000

## Properties
- Uncorrected formation energy: -0.12 eV per atom
- Offset from the most stable computed form: 0 meV per atom
- SG: No. 123
- V: 32.26 Å³ per atom

***

Record 22
Crystalline BaCdTe2 at its relaxed geometry, computed with PBE-GGA.

Cell: 4.218 4.570 8.033 Å, 93.08 90.00 90.00°
Atoms (fractional coordinates):
Te 0.000 0.728 0.006
Ba 0.500 0.250 0.250
Te 0.000 0.772 0.494
Cd 0.500 0.750 0.750

## Properties
- Uncorrected formation energy: -0.89 eV per atom
- SG: No. 10
- V: 38.65 Å³ per atom

***

Record 23
Crystalline PaSCl at its relaxed geometry, computed with PBE-GGA.

Cell: 3.428 4.565 10.553 Å, 90.00 90.18 90.00°
Atoms (fractional coordinates):
S 0.999 0.750 0.406
Cl 0.997 0.250 0.163
Pa 0.499 0.250 0.368
Cl 0.003 0.750 0.837
S 0.001 0.250 0.594
Pa 0.501 0.750 0.632

## Properties
- Uncorrected formation energy: -1.60 eV per atom
- Offset from the most stable computed form: 0 meV per atom
- SG: No. 11
- V: 27.53 Å³ per atom

***

Record 24
Crystalline Er3Tm3Ni4 at its relaxed geometry, computed with PBE-GGA.

Cell: 3.877 7.386 7.386 Å, 90.03 90.00 90.00°
Atoms (fractional coordinates):
Tm 0.500 0.665 0.664
Tm 0.500 0.336 0.335
Er 0.500 0.164 0.836
Ni 0.000 0.873 0.875
Er 0.000 0.000 0.500
Ni 0.000 0.125 0.127
Tm 0.500 0.835 0.165
Ni 0.000 0.626 0.374
Ni 0.000 0.376 0.624
Er 0.000 0.500 0.000

## Properties
- ΔH_f (0 K): -3.7 eV per formula unit
- SG: No. 38
- V: 21.15 Å³ per atom

***

Record 25
Crystalline AcPrSm2 at its relaxed geometry, computed with PBE-GGA.

Cell: 3.761 3.761 12.315 Å, 81.22 81.22 60.00°
Atoms (fractional coordinates):
Pr 0.667 0.667 0.000
Sm 0.253 0.253 0.242
Sm 0.081 0.081 0.758
Ac 0.500 0.500 0.499

## Properties
- Offset from the most stable computed form: 13 meV per atom
- ΔH_f (0 K): 0.2 eV per formula unit
- SG: No. 160
- V: 37.12 Å³ per atom

***

Record 26
Crystalline InTc2TeOs at its relaxed geometry, computed with PBE-GGA.

Cell: 4.939 5.276 4.939 Å, 90.00 90.00 90.00°
Atoms (fractional coordinates):
Te 0.000 0.500 0.000
Tc 0.000 0.000 0.500
In 0.000 0.000 0.000
Tc 0.500 0.000 0.000
Os 0.500 0.500 0.500

## Properties
- Uncorrected formation energy: 2.83 eV per atom
- SG: No. 123
- V: 25.74 Å³ per atom